[1]
DFT (PBE) results for a relaxed structure of NaSiP2.

Cell: 7.571 7.571 7.571 Å, 25.77 25.77 25.77°
Atoms (fractional coordinates):
Na 0.000 0.000 0.000
Si 0.500 0.500 0.500
P 0.231 0.231 0.231
P 0.769 0.769 0.769

Calculated values
uncorrected formation energy = -0.0870 eV per atom
V = 72.2 Å³ per cell
spin magnetization = 0.00 μB/atom

[2]
DFT (PBE) results for a relaxed structure of NaSi2P2.

Cell: 5.232 5.232 5.232 Å, 128.04 128.04 76.56°
Atoms (fractional coordinates):
Na 0.000 0.000 0.000
Si 0.349 0.349 0.000
Si 0.651 0.651 0.000
P 0.250 0.750 0.500
P 0.750 0.250 0.500

Calculated values
uncorrected formation energy = -0.0896 eV per atom
V = 86.3 Å³ per cell
spin magnetization = 0.00 μB/atom

Q: Which of these has the highest V?
A: NaSi2P2

Q: What is the formula in the second record?
A: NaSi2P2

Q: Which value of V does entry 2 give?
A: 86.3 Å³ per cell